No. 1
The following is a PBE calculation of a relaxed ErAlGa2O6 crystal, from Alexandria.

a b c (Å): 5.1705 5.1706 5.5128
angles (deg): 62.04 62.04 60.00
With the nearest neighbours (Å) after each atom.
Sites, in units of the cell vectors:
Er (0.8007, 0.8007, 0.5978)  6 O 2.16-2.35
Al (0.3193, 0.3194, 0.0420)  6 O 1.95-1.96
Ga (0.5279, 0.5279, 0.4162)  6 O 1.96-2.18
Ga (0.0172, 0.0172, 0.9484)  6 O 1.93-2.14
O (0.5961, 0.2391, 0.2387)  2 Ga 1.96-2.14, 1 Al 1.96
O (0.2391, 0.9261, 0.2386)  2 Ga 1.96-2.14, 1 Al 1.96
O (0.9261, 0.5961, 0.2386)  2 Ga 1.96-2.14, 1 Al 1.96
O (0.3715, 0.7133, 0.7649)  1 Ga 1.93, 1 Al 1.95
O (0.7133, 0.1503, 0.7650)  1 Ga 1.93, 1 Al 1.95
O (0.1502, 0.3715, 0.7650)  1 Ga 1.93, 1 Al 1.95

For the formation energy (no corrections), the calculation gives -2.504 eV/atom. The calculation puts the density of states at the Fermi level at 0.000 states/eV/atom. For the magnetic moment, the calculation gives 0.0 Bohr magnetons per cell. As for the crystal system: trigonal.

***

No. 2
The following is a PBE calculation of a relaxed Na2VGeCl6 crystal, from Alexandria.

a b c (Å): 6.8112 6.8110 7.1604
angles (deg): 61.60 61.60 60.00
With the nearest neighbours (Å) after each atom.
Sites, in units of the cell vectors:
Na (0.5276, 0.5277, 0.4172)  6 Cl 2.77-2.92
Na (0.0194, 0.0194, 0.9416)  6 Cl 2.77-2.87
V (0.3239, 0.3239, 0.0284)  6 Cl 2.48-2.52
Ge (0.8182, 0.8181, 0.5456)  6 Cl 2.64-2.78
Cl (0.5735, 0.2044, 0.2551)  1 V 2.48, 1 Na 2.77, 1 Ge 2.78
Cl (0.2043, 0.9670, 0.2551)  1 V 2.49, 1 Na 2.77, 1 Ge 2.78
Cl (0.9670, 0.5735, 0.2551)  1 V 2.48, 1 Na 2.77, 1 Ge 2.78
Cl (0.4421, 0.6850, 0.7723)  1 V 2.52, 1 Ge 2.64, 1 Na 2.77
Cl (0.6851, 0.1005, 0.7724)  1 V 2.52, 1 Ge 2.64, 1 Na 2.77
Cl (0.1005, 0.4421, 0.7724)  1 V 2.52, 1 Ge 2.64, 1 Na 2.77

For the formation energy (no corrections), the calculation gives -1.269 eV/atom. For the magnetic moment, the calculation gives 3.0 Bohr magnetons per cell. As for the crystal system: trigonal.

***

No. 3
The following is a PBE calculation of a relaxed Cu2HgPSe4 crystal, from Alexandria.

a b c (Å): 5.8458 5.8458 6.9713
angles (deg): 114.76 114.76 90.06
With the nearest neighbours (Å) after each atom.
Sites, in units of the cell vectors:
Cu (0.7501, 0.2501, 0.5002)  4 Se 2.43
Cu (0.2501, 0.7501, 0.5002)  4 Se 2.43
Hg (0.0005, 0.0005, 0.0010)  4 Se 2.73
P (0.4998, 0.4998, 0.9996)  4 Se 2.43-2.44
Se (0.5904, 0.5904, 0.7250)  2 Cu 2.43, 1 P 2.43
Se (0.4097, 0.8651, 0.2748)  2 Cu 2.43, 1 P 2.44
Se (0.8651, 0.4097, 0.2748)  2 Cu 2.43, 1 P 2.44
Se (0.1346, 0.1346, 0.7250)  2 Cu 2.43, 1 P 2.43

For the formation energy (no corrections), the calculation gives -0.076 eV/atom. The calculation puts the density of states at the Fermi level at 0.417 states/eV/atom. For the magnetic moment, the calculation gives 0.0 Bohr magnetons per cell. As for the crystal system: orthorhombic.

***

No. 4
The following is a PBE calculation of a relaxed KVAsI6 crystal, from Alexandria.

a b c (Å): 7.4547 7.4547 7.8394
angles (deg): 90.00 90.00 60.00
With the nearest neighbours (Å) after each atom.
Sites, in units of the cell vectors:
K (0.0000, 0.0000, 0.0000)  6 I 3.59
V (0.6666, 0.6667, 0.5000)  6 I 2.83
As (0.3333, 0.3333, 0.5000)  6 I 2.91
I (0.9917, 0.3754, 0.2918)  1 V 2.83, 1 As 2.91
I (0.3754, 0.9917, 0.7081)  1 V 2.83, 1 As 2.91
I (0.6328, 0.3755, 0.7081)  1 V 2.83, 1 As 2.91
I (0.9917, 0.6329, 0.7081)  1 V 2.83, 1 As 2.91
I (0.3754, 0.6329, 0.2918)  1 V 2.83, 1 As 2.91
I (0.6328, 0.9917, 0.2918)  1 V 2.83, 1 As 2.91

For the formation energy (no corrections), the calculation gives -0.542 eV/atom. For the magnetic moment, the calculation gives 3.0 Bohr magnetons per cell. As for the crystal system: trigonal.